{
  "formula": "LaZrTe2Os",
  "functional": "PBE-GGA",
  "state": "optimized geometry",
  "dos_ef_per_ev_atom": 1.1927,
  "e_form_raw_ev_per_atom": 1.139,
  "e_tot_ha_per_atom": -0.186,
  "lattice_angstrom": [[5.913, 0.000, 0.000], [0.000, 4.925, 0.000], [0.000, 0.000, 5.913]],
  "species": ["Te", "Te", "La", "Os", "Zr"],
  "frac_coords": [[0.000, 0.000, 0.500], [0.500, 0.000, 0.000], [0.000, 0.000, 0.000], [0.000, 0.500, 0.000], [0.500, 0.500, 0.500]]
}